The following is a DFT calculation (PBE) of Y2MgBeCl after structural relaxation.

POSCAR file:
```
Y2MgBeCl
1.0
5.281 0.000 0.000
0.000 4.183 0.000
0.000 0.000 5.281
Mg Cl Y Be
1 1 2 1
Cartesian
2.640 2.091 2.640 Mg
0.000 0.000 0.000 Cl
0.000 0.000 2.640 Y
2.640 0.000 0.000 Y
0.000 2.091 0.000 Be
```

---

The following is a DFT calculation (PBE) of MnBeCl2 after structural relaxation.

POSCAR file:
```
MnBeCl2
1.0
-3.442 5.128 -3.251
-4.018 2.065 -5.321
-3.029 -0.222 1.172
Cl Be Mn
2 1 1
Cartesian
-6.894 6.270 -7.362 Cl
-5.810 4.409 -4.909 Cl
-7.866 5.228 -5.550 Be
-2.622 1.743 -1.850 Mn
```

For the energy above the most stable polymorph in this dataset, the calculation gives 0.164 eV/atom.

---

The following is a DFT calculation (PBE) of Mn2BeCl after structural relaxation.

POSCAR file:
```
Mn2BeCl
1.0
3.094 0.000 0.000
0.000 3.098 -0.010
0.000 1.452 6.828
Cl Mn Be
1 2 1
Cartesian
1.547 2.790 5.687 Cl
0.000 2.890 0.167 Mn
1.547 1.346 1.798 Mn
0.000 2.898 2.565 Be
```

For the energy above the most stable polymorph in this dataset, the calculation gives 0.083 eV/atom.

---

The following is a DFT calculation (PBE) of MnBeCl after structural relaxation.

POSCAR file:
```
MnBeCl
1.0
-3.480 -1.934 -0.534
-0.037 -3.999 -0.383
-1.499 -2.286 2.943
Be Mn Cl
1 1 1
Cartesian
-2.508 -4.109 1.013 Be
0.000 0.000 0.000 Mn
-3.762 -6.164 1.519 Cl
```

For the energy above the most stable polymorph in this dataset, the calculation gives 0.745 eV/atom.

---

The following is a DFT calculation (PBE) of MnBeCl after structural relaxation.

POSCAR file:
```
MnBeCl
1.0
-6.048 1.218 -0.282
-5.381 -2.403 1.853
5.852 1.690 1.033
Mn Be Cl
1 1 1
Cartesian
-1.663 0.911 2.066 Mn
5.206 1.622 1.121 Be
-3.268 -0.337 0.450 Cl
```

For the energy above the most stable polymorph in this dataset, the calculation gives 0.041 eV/atom.

---

The following is a DFT calculation (PBE) of MnBeCl2 after structural relaxation.

POSCAR file:
```
MnBeCl2
1.0
6.447 -0.009 0.000
4.596 4.521 0.000
-5.522 -2.256 2.446
Cl Be Mn
2 1 1
Cartesian
2.298 2.260 1.223 Cl
0.000 0.000 0.000 Cl
3.223 -0.004 1.223 Be
5.522 2.256 0.000 Mn
```

For the energy above the most stable polymorph in this dataset, the calculation gives 0.689 eV/atom.

---

The following is a DFT calculation (PBE) of Mn2BeCl after structural relaxation.

POSCAR file:
```
Mn2BeCl
1.0
5.137 0.000 0.000
0.000 5.137 0.000
2.569 2.569 5.724
Mn Be Cl
4 2 2
Cartesian
3.589 1.284 1.431 Mn
3.853 4.117 4.293 Mn
1.549 3.853 1.431 Mn
6.422 6.158 4.293 Mn
2.569 2.569 0.000 Be
2.569 5.137 2.862 Be
0.000 0.000 0.000 Cl
5.137 2.569 2.862 Cl
```

For the energy above the most stable polymorph in this dataset, the calculation gives 0.489 eV/atom.

---

The following is a DFT calculation (PBE) of Mn2BeCl after structural relaxation.

POSCAR file:
```
Mn2BeCl
1.0
4.427 -0.007 0.000
0.828 4.349 0.000
-2.627 -2.171 2.825
Cl Be Mn
1 1 2
Cartesian
2.213 -0.004 1.413 Cl
0.414 2.174 1.413 Be
2.627 2.171 0.000 Mn
0.000 0.000 0.000 Mn
```

For the energy above the most stable polymorph in this dataset, the calculation gives 0.453 eV/atom.

---

The following is a DFT calculation (PBE) of Mn2BeCl after structural relaxation.

POSCAR file:
```
Mn2BeCl
1.0
0.000 3.017 3.017
3.017 0.000 3.017
3.017 3.017 0.000
Mn Cl Be
2 1 1
Cartesian
4.526 4.526 4.526 Mn
1.509 1.509 1.509 Mn
3.017 3.017 3.017 Cl
0.000 0.000 0.000 Be
```

For the energy above the most stable polymorph in this dataset, the calculation gives 0.474 eV/atom.

---

The following is a DFT calculation (PBE) of MnBeCl after structural relaxation.

POSCAR file:
```
MnBeCl
1.0
4.021 0.000 0.000
2.011 3.482 0.000
2.011 1.161 3.283
Be Cl Mn
1 1 1
Cartesian
0.000 0.000 0.000 Be
4.021 2.322 1.642 Cl
6.032 3.482 2.462 Mn
```

For the energy above the most stable polymorph in this dataset, the calculation gives 0.559 eV/atom.

---

The following is a DFT calculation (PBE) of MnBeCl after structural relaxation.

POSCAR file:
```
MnBeCl
1.0
2.992 0.000 0.000
-1.496 2.591 0.000
0.000 0.000 5.370
Be Mn Cl
1 1 1
Cartesian
0.000 0.000 5.345 Be
0.000 1.727 3.660 Mn
1.496 0.864 1.735 Cl
```

For the energy above the most stable polymorph in this dataset, the calculation gives 0.000 eV/atom.

---

The following is a DFT calculation (PBE) of Mn2BeCl after structural relaxation.

POSCAR file:
```
Mn2BeCl
1.0
5.722 0.003 0.008
-2.484 3.639 -0.002
0.754 1.026 2.535
Mn Be Cl
2 1 1
Cartesian
3.238 0.515 1.271 Mn
0.000 0.000 0.000 Mn
-0.865 2.332 1.266 Be
1.619 1.821 0.003 Cl
```

For the energy above the most stable polymorph in this dataset, the calculation gives 0.368 eV/atom.

---

no.,formation energy without anion corrections (eV/f.u.)
1,-0.32
2,-1.23
3,0.85
4,2.76
5,0.65
6,0.87
7,2.47
8,2.32
9,2.41
10,2.20
11,0.52
12,1.99